Record 1
The following is a DFT calculation (PBE-GGA) of Pm2SmEr8 after structural relaxation.

The value obtained for the total energy is -4.59 eV/atom. The calculated volume is 31.5 Å³/atom. Its distance to the lowest polymorph of the same formula is 0.0 kJ per mole of atoms. As for the formation energy: 22 meV/atom.

The structure belongs to space group C2/m (No. 12); the cell edges are 18.063, 5.012 and 7.922 Å and the angles 90.00°, 105.24° and 90.00°. The distinct sites, in fractional coordinates, are Pm at (0.227, 0.000, 0.137), Sm at (0.000, 0.500, 0.500), Er at (0.045, 0.000, 0.227), Er at (0.090, 0.500, 0.955), Er at (0.136, 0.000, 0.680) and Er at (0.181, 0.500, 0.408).

***

Record 2
The following is a DFT calculation (PBE-GGA) of PmSm4Er after structural relaxation.

The value obtained for the total energy is -4.58 eV/atom. The calculated volume is 33.4 Å³/atom. As for the formation energy: 114 meV/atom.

The structure belongs to space group C2/m (No. 12); the cell edges are 11.177, 5.940 and 6.046 Å and the angles 90.00°, 90.30° and 90.00°. The distinct sites, in fractional coordinates, are Pm at (0.000, 0.000, 0.000), Sm at (0.170, 0.500, 0.038), Sm at (0.171, 0.000, 0.463) and Er at (0.000, 0.500, 0.500).

***

Record 3
The following is a DFT calculation (PBE-GGA) of PmSmEr2 after structural relaxation.

The value obtained for the total energy is -4.63 eV/atom. The calculated volume is 32.6 Å³/atom. Its distance to the lowest polymorph of the same formula is 0.7 kJ per mole of atoms. As for the formation energy: 23 meV/atom.

The structure belongs to space group P2_1/m (No. 11); the cell edges are 8.485, 3.632 and 8.497 Å and the angles 90.00°, 95.31° and 90.00°. The distinct sites, in fractional coordinates, are Pm at (0.166, 0.250, 0.085), Sm at (0.334, 0.750, 0.416), Er at (0.084, 0.250, 0.666) and Er at (0.417, 0.750, 0.833).

***

Record 4
The following is a DFT calculation (PBE-GGA) of PmSm8Er4 after structural relaxation.

The value obtained for the total energy is -4.49 eV/atom. The calculated volume is 33.2 Å³/atom. As for the formation energy: 187 meV/atom.

The structure belongs to space group R-3m (No. 166, hexagonal axes); the cell edges are 7.3152, 7.3152 and 27.9049 Å and the angles 90.00°, 90.00° and 120.00°. The distinct sites, in fractional coordinates, are Pm at (0.0000, 0.0000, 0.0000), Sm at (0.0000, 0.0000, 0.2836), Sm at (0.0336, 0.5168, 0.2659), Er at (0.0000, 0.0000, 0.5000) and Er at (0.0000, 0.5000, 0.5000).